## La2Pm3Sm6Pu (PBE-GGA)

Data for an optimized crystal structure of La2Pm3Sm6Pu.

a = 6.3026 Å, b = 6.3026 Å, c = 12.0152 Å
α = 95.08°, β = 95.08°, γ = 120.09°
Sites, in units of the cell vectors:
La 0.1669 0.8331 0.0000
La 0.8331 0.1669 0.0000
Pm 0.0000 0.0000 0.5000
Pm 0.3338 0.6662 0.5000
Pm 0.6662 0.3338 0.5000
Sm 0.0891 0.4172 0.7507
Sm 0.2545 0.2545 0.2491
Sm 0.4172 0.0891 0.7507
Sm 0.5828 0.9108 0.2493
Sm 0.7455 0.7455 0.7509
Sm 0.9108 0.5828 0.2493
Pu 0.5000 0.5000 0.0000

As for the total moment: 0.559 μB/atom. As for the space-group type: C2/m. Its calculated total energy is -0.405 Ry per atom. The formation energy comes out at 0.050 eV per atom. For the density of states at the Fermi level, the calculation gives 25.0 states/eV/cell.